# Mg2In2Pt3, relaxed, DFT PBE
# Total moment in Bohr magnetons per cell: 0.00
# Calculated formation energy in eV per atom: -0.632
# Calculated total energy in eV/atom: -4.459
# Crystal system: triclinic
data_Mg2In2Pt3
_cell_length_a 4.5903
_cell_length_b 4.6011
_cell_length_c 7.6857
_cell_angle_alpha 72.80
_cell_angle_beta 72.65
_cell_angle_gamma 60.24
_symmetry_space_group_name_H-M 'P -1'
_symmetry_Int_Tables_number 2
loop_
_symmetry_equiv_pos_as_xyz
'x,y,z'
'-x,-y,-z'
loop_
_atom_site_label
_atom_site_fract_x
_atom_site_fract_y
_atom_site_fract_z
_atom_site_occupancy
Mg1 0.1291 0.1307 0.1105 1
In1 0.3863 0.3872 0.3404 1
Pt1 0.0000 0.0000 0.5000 1
Pt2 0.2539 0.2517 0.7398 1

# CaLa2Al2, relaxed, DFT PBE
# Total moment in Bohr magnetons per cell: 0.00
# Calculated formation energy in eV per atom: -0.260
# Calculated total energy in eV/atom: -4.128
# Crystal system: tetragonal
data_CaLa2Al2
_cell_length_a 8.7873
_cell_length_b 8.7873
_cell_length_c 3.9435
_cell_angle_alpha 90.00
_cell_angle_beta 90.00
_cell_angle_gamma 90.00
_symmetry_space_group_name_H-M 'P 4/m b m'
_symmetry_Int_Tables_number 127
_symmetry_space_group_name_Hall '-P 4 2ab'
loop_
_atom_site_label
_atom_site_fract_x
_atom_site_fract_y
_atom_site_fract_z
_atom_site_occupancy
Ca1 0.0000 0.0000 0.0000 1
La1 0.1788 0.3212 0.5000 1
Al1 0.1119 0.6119 0.0000 1

# Tb4DyAgS8, relaxed, DFT PBE
# Total moment in Bohr magnetons per cell: 0.00
# Calculated total energy in eV/atom: -6.041
# Crystal system: trigonal
# E_form (uncorrected) in meV per atom: -1827
data_Tb4DyAgS8
_cell_length_a 8.0618
_cell_length_b 8.0618
_cell_length_c 19.7047
_cell_angle_alpha 90.00
_cell_angle_beta 90.00
_cell_angle_gamma 120.00
_symmetry_space_group_name_H-M 'R 3 m'
_symmetry_Int_Tables_number 160
_symmetry_space_group_name_Hall 'R 3 -2"'
loop_
_atom_site_label
_atom_site_fract_x
_atom_site_fract_y
_atom_site_fract_z
_atom_site_occupancy
Tb1 0.0000 0.0000 0.0000 1
Tb2 0.1723 0.3446 0.2071 1
Dy1 0.0000 0.0000 0.3795 1
Ag1 0.0000 0.0000 0.7505 1
S1 0.0000 0.0000 0.1336 1
S2 0.0000 0.0000 0.6177 1
S3 0.0208 0.5104 0.1274 1
S4 0.1784 0.3567 0.9561 1

# BeOsW2, relaxed, DFT PBE
# Total moment in Bohr magnetons per cell: 0.00
# Calculated formation energy in eV per atom: 0.126
# Calculated total energy in eV/atom: -10.090
# Crystal system: tetragonal
data_BeOsW2
_cell_length_a 2.7717
_cell_length_b 2.7717
_cell_length_c 7.2368
_cell_angle_alpha 90.00
_cell_angle_beta 90.00
_cell_angle_gamma 90.00
_symmetry_space_group_name_H-M 'P 4/m m m'
_symmetry_Int_Tables_number 123
_symmetry_space_group_name_Hall '-P 4 2'
loop_
_atom_site_label
_atom_site_fract_x
_atom_site_fract_y
_atom_site_fract_z
_atom_site_occupancy
Be1 0.0000 0.0000 0.0000 1
Os1 0.0000 0.0000 0.5000 1
W1 0.5000 0.5000 0.2313 1

# Pm5Si2Te, relaxed, DFT PBE
# Total moment in Bohr magnetons per cell: 8.76
# Calculated total energy in eV/atom: -5.471
# Crystal system: tetragonal
# E_form (uncorrected) in meV per atom: -754
data_Pm5Si2Te
_cell_length_a 7.8641
_cell_length_b 7.8641
_cell_length_c 14.2049
_cell_angle_alpha 90.00
_cell_angle_beta 90.00
_cell_angle_gamma 90.00
_symmetry_space_group_name_H-M 'I 4/m c m'
_symmetry_Int_Tables_number 140
_symmetry_space_group_name_Hall '-I 4 2c'
loop_
_atom_site_label
_atom_site_fract_x
_atom_site_fract_y
_atom_site_fract_z
_atom_site_occupancy
Pm1 0.0000 0.0000 0.0000 1
Pm2 0.1655 0.3345 0.1388 1
Si1 0.1282 0.3718 0.5000 1
Te1 0.0000 0.0000 0.2500 1

# Li14MgCu, relaxed, DFT PBE
# Total moment in Bohr magnetons per cell: 0.00
# Calculated formation energy in eV per atom: 0.003
# Calculated total energy in eV/atom: -2.027
# Crystal system: orthorhombic
data_Li14MgCu
_cell_length_a 9.7549
_cell_length_b 5.8069
_cell_length_c 10.5721
_cell_angle_alpha 90.00
_cell_angle_beta 90.00
_cell_angle_gamma 90.00
_symmetry_space_group_name_H-M 'A m m 2'
_symmetry_Int_Tables_number 38
loop_
_symmetry_equiv_pos_as_xyz
'x,y,z'
'-x,-y,z'
'-x,y,z'
'x,-y,z'
'x,y+1/2,z+1/2'
'-x,-y+1/2,z+1/2'
'-x,y+1/2,z+1/2'
'x,-y+1/2,z+1/2'
loop_
_atom_site_label
_atom_site_fract_x
_atom_site_fract_y
_atom_site_fract_z
_atom_site_occupancy
Li1 0.0000 0.0000 0.0000 1
Li2 0.0000 0.0000 0.4904 1
Li3 0.0000 0.2452 0.2439 1
Li4 0.2397 0.0000 0.8367 1
Li5 0.2600 0.2451 0.0859 1
Li6 0.2740 0.0000 0.3243 1
Li7 0.5000 0.2433 0.9339 1
Mg1 0.5000 0.0000 0.6837 1
Cu1 0.5000 0.0000 0.1686 1